Material: RbP2PtO
Method: DFT, PBE
State: relaxed

Output
**V**: 21.2 Å³ per atom
**E_tot**: -21.38 eV per cell
**Distance to the lowest polymorph of the same formula**: 0.000 eV/f.u.
**Energy relative to the elements, uncorrected**: 0.28 eV per atom

Lattice parameters (Å, degrees): 4.606 4.606 4.990 90.00 90.00 90.00
Sites, in units of the cell vectors:
Rb 0.000 0.000 0.000
P 0.000 0.500 0.500
P 0.500 0.000 0.500
Pt 0.500 0.500 0.500
O 0.500 0.500 0.000



Material: Tl8TeAu2
Method: DFT, PBE
State: relaxed

Output
**V**: 30.3 Å³ per atom
**E_tot**: -29.39 eV per cell
**Energy relative to the elements, uncorrected**: -0.07 eV per atom

Lattice parameters (Å, degrees): 9.737 9.737 8.251 100.82 100.82 25.72
Sites, in units of the cell vectors:
Tl 0.019 0.019 0.230
Tl 0.210 0.210 0.823
Tl 0.331 0.331 0.513
Tl 0.394 0.394 0.010
Tl 0.606 0.606 0.990
Tl 0.669 0.669 0.487
Tl 0.790 0.790 0.177
Tl 0.981 0.981 0.770
Te 0.500 0.500 0.500
Au 0.183 0.183 0.234
Au 0.817 0.817 0.766



Repeat the first record exactly.
Material: RbP2PtO
Method: DFT, PBE
State: relaxed

Output
**V**: 21.2 Å³ per atom
**E_tot**: -21.38 eV per cell
**Distance to the lowest polymorph of the same formula**: 0.000 eV/f.u.
**Energy relative to the elements, uncorrected**: 0.28 eV per atom

Lattice parameters (Å, degrees): 4.606 4.606 4.990 90.00 90.00 90.00
Sites, in units of the cell vectors:
Rb 0.000 0.000 0.000
P 0.000 0.500 0.500
P 0.500 0.000 0.500
Pt 0.500 0.500 0.500
O 0.500 0.500 0.000